Here is a geometry-optimized NiOs2Ru structure from Alexandria. Energies are from PBE-GGA.

Lattice parameters (Å, degrees): 2.742 4.492 4.501 90.00 90.00 90.00
Space group Pmmm (No. 47)
Asymmetric unit:
Ni  0.000  0.000  0.000
Os  0.000  0.500  0.500
Os  0.500  0.500  0.000
Ru  0.500  0.000  0.500

Computed properties:
distance to the lowest polymorph of the same formula = 0.349 eV per atom

=====

Here is a geometry-optimized NiOs2Ru structure from Alexandria. Energies are from PBE-GGA.

Lattice parameters (Å, degrees): 5.408 5.408 10.695 90.00 90.00 90.00
Space group I-42d (No. 122)
Asymmetric unit:
Ni  0.000  0.000  0.000
Os  0.237  0.250  0.125
Ru  0.000  0.000  0.500

Computed properties:
distance to the lowest polymorph of the same formula = 1.259 eV per atom

=====

Here is a geometry-optimized NiOsRu structure from Alexandria. Energies are from PBE-GGA.

Lattice parameters (Å, degrees): 4.568 7.925 4.638 90.00 109.76 90.00
Space group C2 (No. 5)
Asymmetric unit:
Ni  0.000  0.000  0.000
Ni  0.000  0.161  0.500
Os  0.000  0.333  0.000
Os  0.000  0.668  0.000
Ru  0.000  0.491  0.500
Ru  0.000  0.824  0.500

Computed properties:
distance to the lowest polymorph of the same formula = 0.046 eV per atom

=====

Here is a geometry-optimized Ni2OsRu structure from Alexandria. Energies are from PBE-GGA.

Lattice parameters (Å, degrees): 4.279 4.279 2.742 90.00 90.00 90.00
Space group P4/mmm (No. 123)
Asymmetric unit:
Ni  0.000  0.500  0.000
Os  0.000  0.000  0.500
Ru  0.500  0.500  0.500

Computed properties:
distance to the lowest polymorph of the same formula = 0.225 eV per atom

=====

Here is a geometry-optimized Ni2OsRu structure from Alexandria. Energies are from PBE-GGA.

Lattice parameters (Å, degrees): 3.653 3.653 7.508 90.00 90.00 90.00
Space group I-4m2 (No. 119)
Asymmetric unit:
Ni  0.000  0.000  0.000
Ni  0.000  0.500  0.250
Os  0.000  0.000  0.500
Ru  0.000  0.500  0.750

Computed properties:
distance to the lowest polymorph of the same formula = 0.008 eV per atom

=====

Here is a geometry-optimized NiOs2Ru structure from Alexandria. Energies are from PBE-GGA.

Lattice parameters (Å, degrees): 2.803 4.331 8.917 90.00 90.00 90.00
Space group Imm2 (No. 44)
Asymmetric unit:
Ni  0.000  0.000  0.000
Os  0.000  0.000  0.497
Os  0.000  0.500  0.725
Ru  0.000  0.500  0.274

Computed properties:
distance to the lowest polymorph of the same formula = 0.233 eV per atom

=====

Total moment: 0.00; 0.00; 0.00; 0.00; 0.00; 0.00 (μB/f.u.)
Final energy: -35.57; -127.71; -104.06; -30.87; -63.48; -72.07 (eV for the cell shown)
ΔE_f: 46.9; 134.8; 8.7; 28.8; 7.9; 35.8 (kJ/mol of atoms)